VASP calculation (meta-GGA SCAN) on CdHgSe2 at its PBEsol-relaxed geometry.

Results
ΔE to the lowest computed polymorph in eV per atom: 0.0016
Energy relative to the elements, uncorrected in eV per atom: -0.442
Calculated volume in Å³ per atom: 28.5
Symmetry: P-4m2 (115)

```
4
Lattice="-0.1341 4.2883 -0.5196 0.5076 -0.5006 -4.2626 -6.0544 -0.2728 -0.6890" Properties=species:S:1:pos:R:3 pbc="T T T"
Hg 0.0000 0.0000 0.0000
Se -1.2767 -0.3192 -2.3055
Se -4.5909 1.9404 -0.7746
Cd -2.8404 1.7575 -2.7356
```

VASP calculation (meta-GGA SCAN) on Sc2Ga8Co at its PBEsol-relaxed geometry.

Results
Calculated formation energy in eV/atom: -0.528
Calculated volume in Å³ per atom: 15.9
Symmetry: P4/mmm (123)

```
11
Lattice="4.0566 0.0000 0.0000 0.0000 4.0566 0.0000 0.0000 0.0000 10.6086" Properties=species:S:1:pos:R:3 pbc="T T T"
Sc 0.0000 0.0000 3.2784
Sc 0.0000 0.0000 7.3302
Ga 0.0000 2.0283 1.2936
Ga 0.0000 2.0283 9.3150
Ga 2.0283 0.0000 1.2936
Ga 2.0283 0.0000 9.3150
Ga 2.0283 2.0283 3.2594
Ga 2.0283 2.0283 7.3492
Ga 0.0000 2.0283 5.3043
Ga 2.0283 0.0000 5.3043
Co 0.0000 0.0000 0.0000
```

VASP calculation (meta-GGA SCAN) on NaZrNbP3O12 at its PBEsol-relaxed geometry.

Results
Energy relative to the elements, uncorrected in eV per atom: -2.787
Calculated volume in Å³ per atom: 14.1
Symmetry: R3c (161)

```
36
Lattice="8.8436 0.0000 0.0000 4.4218 7.6588 0.0000 4.4218 2.5529 7.4700" Properties=species:S:1:pos:R:3 pbc="T T T"
Na 8.8436 5.1058 3.7751
Na 13.2654 7.6588 0.0401
Zr 8.8436 5.1058 0.5128
Zr 4.4218 2.5529 4.2478
Nb 8.8436 5.1058 6.9832
Nb 13.2654 7.6588 3.2482
P 5.6881 4.7929 1.8662
P 10.1503 7.9950 1.8662
P 10.6923 2.5296 1.8662
P 7.5773 2.2400 5.6012
P 6.9948 7.6354 5.6012
P 11.9586 5.4421 5.6012
O 10.4228 5.3004 5.6576
O 8.2224 3.6409 5.6576
O 7.8855 6.3762 5.6576
O 11.6862 7.8533 1.9226
O 9.8016 1.2704 1.9226
O 5.0429 6.1939 1.9226
O 7.2198 4.9402 1.8227
O 9.5120 6.5949 1.8227
O 9.7989 3.7824 1.8227
O 6.0455 2.3873 5.5578
O 7.8883 8.8883 5.5578
O 12.5969 4.0419 5.5578
O 5.1707 4.0999 0.5882
O 5.3871 1.1308 0.5882
O 2.7076 2.4280 0.5882
O 8.0947 1.5470 4.3232
O 6.1360 7.5338 4.3232
O 12.3000 6.2367 4.3232
O 12.4829 6.1603 6.8509
O 12.3588 9.0856 6.8509
O 14.9543 7.7304 6.8509
O 9.6260 8.7132 3.1159
O 11.5764 2.6246 3.1159
O 5.3283 3.9797 3.1159
```